## NdNiOs (PBE)

Data for NdNiOs after structural relaxation.

abc: 4.113 4.113 4.152
angles: 90.00 90.00 120.00
Element x y z (fractional)
Nd 0.000 0.000 0.000
Ni 0.333 0.667 0.500
Os 0.667 0.333 0.500

Calculated values
ΔE to the lowest computed polymorph in eV per atom: 0.241
E_tot in eV/atom: -7.24
E_form in meV/atom: 20
Size of the total moment in μB per formula unit: 0.855
SG: P-6m2 (187)